Compound: HoTmRh
Source: Alexandria via LeMat-Bulk
Functional: PBE
Structure: optimized geometry

Results
The value obtained for the total energy is -6.0947 eV/atom. Its energy above the most stable polymorph in this dataset is 31 meV per atom.

Cell and atoms, written as POSCAR:
```
HoTmRh
1.0
4.765 0.000 0.000
2.382 4.127 0.000
2.382 1.376 3.891
Tm Rh Ho
1 1 1
direct
0.000 0.000 0.000
0.250 0.250 0.250
0.500 0.500 0.500
```

Compound: HoTm4Rh4
Source: Alexandria via LeMat-Bulk
Functional: PBE
Structure: optimized geometry

Results
The value obtained for the total energy is -6.4634 eV/atom.

Cell and atoms, written as POSCAR:
```
HoTm4Rh4
1.0
-5.028 2.232 0.755
-1.224 -5.107 6.948
3.488 6.125 5.117
Ho Tm Rh
2 8 8
direct
0.000 0.000 0.000
0.500 0.500 0.500
0.406 0.321 0.912
0.906 0.588 0.821
0.406 0.679 0.088
0.094 0.179 0.588
0.594 0.912 0.679
0.094 0.821 0.412
0.906 0.412 0.179
0.594 0.088 0.321
0.595 0.778 0.376
0.595 0.222 0.624
0.095 0.876 0.722
0.905 0.278 0.876
0.905 0.722 0.124
0.405 0.376 0.222
0.405 0.624 0.778
0.095 0.124 0.278
```

Compound: Ho3TmRh3
Source: Alexandria via LeMat-Bulk
Functional: PBE
Structure: optimized geometry

Results
The value obtained for the total energy is -6.5107 eV/atom.

Cell and atoms, written as POSCAR:
```
Ho3TmRh3
1.0
6.677 1.600 0.399
-1.542 6.691 0.399
-0.287 -0.464 6.628
Ho Tm Rh
6 2 6
direct
0.754 0.754 0.500
0.245 0.755 0.500
0.755 0.245 0.500
0.252 0.748 0.000
0.748 0.252 0.000
0.246 0.246 0.500
0.761 0.761 0.000
0.239 0.239 0.000
0.000 0.000 0.250
0.000 0.500 0.752
0.500 0.000 0.752
0.000 0.500 0.248
0.500 0.000 0.248
0.000 0.000 0.750
```

Compound: HoTm2Rh9
Source: Alexandria via LeMat-Bulk
Functional: PBE
Structure: optimized geometry

Results
The value obtained for the total energy is -7.2223 eV/atom.

Cell and atoms, written as POSCAR:
```
HoTm2Rh9
1.0
-0.071 5.196 -0.620
-4.285 2.727 1.260
1.583 3.653 8.349
Ho Tm Rh
1 2 9
direct
0.000 0.000 0.000
0.861 0.861 0.417
0.139 0.139 0.583
0.667 0.667 0.999
0.333 0.333 0.001
0.500 0.500 0.500
0.416 0.416 0.249
0.918 0.416 0.249
0.416 0.918 0.249
0.584 0.584 0.751
0.584 0.082 0.751
0.082 0.584 0.751
```

Compound: HoTmRh
Source: Alexandria via LeMat-Bulk
Functional: PBE
Structure: optimized geometry

Results
The value obtained for the total energy is -6.0643 eV/atom. Its energy above the most stable polymorph in this dataset is 62 meV per atom.

Cell and atoms, written as POSCAR:
```
HoTmRh
1.0
-1.508 -1.684 -2.562
2.685 -2.103 -0.198
-3.291 -1.943 5.492
Tm Rh Ho
1 1 1
direct
0.036 0.036 0.072
0.665 0.665 0.330
0.299 0.299 0.598
```

Compound: Ho2TmRh
Source: Alexandria via LeMat-Bulk
Functional: PBE
Structure: optimized geometry

Results
The value obtained for the total energy is -5.5544 eV/atom. Its energy above the most stable polymorph in this dataset is 239 meV per atom.

Cell and atoms, written as POSCAR:
```
Ho2TmRh
1.0
-1.109 -2.783 -2.169
0.231 -3.489 1.206
-8.957 -1.426 3.258
Tm Rh Ho
1 1 2
direct
0.500 0.500 0.500
0.000 0.000 0.000
0.272 0.272 0.183
0.728 0.728 0.817
```

Compound: HoTmRh
Source: Alexandria via LeMat-Bulk
Functional: PBE
Structure: optimized geometry

Results
The value obtained for the total energy is -6.1210 eV/atom. Its energy above the most stable polymorph in this dataset is 5 meV per atom.

Cell and atoms, written as POSCAR:
```
HoTmRh
1.0
-6.098 4.024 -0.546
-1.014 -0.310 9.048
7.011 3.455 -3.682
Ho Tm Rh
6 6 6
direct
0.754 0.046 0.592
0.162 0.954 0.408
0.345 0.750 0.000
0.345 0.250 0.000
0.162 0.454 0.408
0.754 0.546 0.592
0.015 0.000 0.000
0.015 0.500 0.000
0.492 0.369 0.739
0.753 0.631 0.261
0.753 0.131 0.261
0.492 0.869 0.739
0.753 0.250 0.000
0.753 0.750 0.000
0.420 0.167 0.334
0.086 0.833 0.666
0.086 0.333 0.666
0.420 0.667 0.334
```

Compound: Ho5Tm2Rh4
Source: Alexandria via LeMat-Bulk
Functional: PBE
Structure: optimized geometry

Results
The value obtained for the total energy is -5.9264 eV/atom.

Cell and atoms, written as POSCAR:
```
Ho5Tm2Rh4
1.0
3.390 0.000 0.000
0.000 10.323 -3.932
-1.695 -9.155 11.605
Ho Tm Rh
5 2 4
direct
0.144 0.738 0.287
0.856 0.262 0.713
0.207 0.527 0.414
0.500 0.000 0.000
0.793 0.473 0.586
0.095 0.941 0.189
0.905 0.059 0.811
0.256 0.192 0.512
0.936 0.669 0.872
0.744 0.808 0.488
0.064 0.331 0.128
```

| no. | N(E_F) (states/eV/f.u.) | total magnetization (μB per formula unit) | formation energy (eV/f.u.) |
| --- | --- | --- | --- |
| 1 | 2.74 | 0.00 | -1.88 |
| 2 | 5.48 | 0.00 | -6.30 |
| 3 | 3.09 | 0.00 | -5.32 |
| 4 | 12.87 | 0.00 | -6.98 |
| 5 | 3.30 | 0.00 | -1.79 |
| 6 | 5.06 | 0.70 | -1.24 |
| 7 | 3.42 | 0.00 | -1.96 |
| 8 | 8.37 | 0.00 | -3.95 |